1.
# Tb2Nd2Sc | Alexandria via LeMat-Bulk | PBE-GGA | relaxed
data_Tb2Nd2Sc
_chemical_formula_sum 'Tb8 Nd8 Sc4'
_cell_length_a 9.283
_cell_length_b 8.569
_cell_length_c 9.267
_cell_angle_alpha 90.00
_cell_angle_beta 119.76
_cell_angle_gamma 90.00
_symmetry_space_group_name_H-M 'C 1 2/c 1'
_symmetry_Int_Tables_number 15
_symmetry_space_group_name_Hall '-C 2yc'
loop_
_atom_site_label
_atom_site_fract_x
_atom_site_fract_y
_atom_site_fract_z
Tb1 0.165 0.030 0.457
Nd1 0.112 0.320 0.156
Sc1 0.000 0.321 0.750
# DFT formation energy	0.130	eV/atom
# calculated total energy	-4.896	eV/atom
# volume	640	Å³ per cell
# M_tot	0.000	μB/atom
# distance to the lowest polymorph of the same formula	0.0000	eV per atom

***

2.
# CrCuRe | Alexandria via LeMat-Bulk | PBE-GGA | relaxed
data_CrCuRe
_chemical_formula_sum 'Cr2 Cu2 Re2'
_cell_length_a 2.630
_cell_length_b 2.630
_cell_length_c 11.543
_cell_angle_alpha 90.00
_cell_angle_beta 90.00
_cell_angle_gamma 90.00
_symmetry_space_group_name_H-M 'I 4 m m'
_symmetry_Int_Tables_number 107
_symmetry_space_group_name_Hall 'I 4 -2'
loop_
_atom_site_label
_atom_site_fract_x
_atom_site_fract_y
_atom_site_fract_z
Cr1 0.000 0.000 0.000
Cu1 0.000 0.000 0.660
Re1 0.000 0.000 0.331
# DFT formation energy	0.388	eV/atom
# calculated total energy	-8.335	eV/atom
# volume	80	Å³ per cell
# M_tot	0.595	μB/atom
# distance to the lowest polymorph of the same formula	0.2058	eV per atom

***

3.
# Co2HPdRu | Alexandria via LeMat-Bulk | PBE-GGA | relaxed
data_Co2HPdRu
_chemical_formula_sum 'Co2 H1 Pd1 Ru1'
_cell_length_a 3.832
_cell_length_b 3.832
_cell_length_c 3.708
_cell_angle_alpha 90.00
_cell_angle_beta 90.00
_cell_angle_gamma 90.00
_symmetry_space_group_name_H-M 'P 4/m m m'
_symmetry_Int_Tables_number 123
_symmetry_space_group_name_Hall '-P 4 2'
loop_
_atom_site_label
_atom_site_fract_x
_atom_site_fract_y
_atom_site_fract_z
Co1 0.000 0.500 0.000
H1 0.000 0.000 0.000
Pd1 0.000 0.000 0.500
Ru1 0.500 0.500 0.500
# calculated total energy	-6.183	eV/atom
# volume	54	Å³ per cell
# M_tot	0.990	μB/atom
# distance to the lowest polymorph of the same formula	0.0608	eV per atom